1.
! PBE Pm8GaAg2, relaxed; values from VASP
! SG: Cm
! Calculated volume, Å³ per atom: 30.1
! Excess energy over the best structure of this formula in the dataset, kJ/mol of atoms: 10.9
! Density of states at the Fermi level, states/eV per cell: 15.53
! Formation energy from the elements, eV per atom: -0.055
&SYSTEM
  ibrav = 0, nat = 11, ntyp = 3
/
ATOMIC_SPECIES
Pm 145.00 Pm.upf
Ag 107.87 Ag.upf
Ga 69.72 Ga.upf
CELL_PARAMETERS angstrom
-5.080 0.381 -2.141
3.077 -6.569 -4.457
-1.865 -1.275 8.209
ATOMIC_POSITIONS crystal
Pm 0.000 0.225 0.781
Pm 0.592 0.094 0.319
Ag 0.501 0.309 0.698
Pm 0.809 0.613 0.613
Ag 0.501 0.698 0.309
Pm 0.191 0.393 0.393
Pm 0.408 0.912 0.687
Pm 0.000 0.781 0.225
Ga 0.997 0.003 0.003
Pm 0.592 0.319 0.094
Pm 0.408 0.687 0.912

2.
! PBE CdAs, relaxed; values from VASP
! SG: I4/m
! Calculated volume, Å³ per atom: 28.5
! Excess energy over the best structure of this formula in the dataset, kJ/mol of atoms: 16.4
! Density of states at the Fermi level, states/eV per cell: 4.86
! Formation energy from the elements, eV per atom: 0.088
&SYSTEM
  ibrav = 0, nat = 16, ntyp = 2
/
ATOMIC_SPECIES
As 74.92 As.upf
Cd 112.41 Cd.upf
CELL_PARAMETERS angstrom
-6.398 -9.427 1.093
-0.802 -0.777 -11.391
2.879 -1.962 -0.069
ATOMIC_POSITIONS crystal
As 0.200 0.690 0.500
Cd 0.993 0.817 0.500
Cd 0.817 0.007 0.500
As 0.690 0.800 0.500
Cd 0.493 0.317 0.000
As 0.800 0.310 0.500
Cd 0.317 0.507 0.000
Cd 0.007 0.183 0.500
As 0.310 0.200 0.500
Cd 0.507 0.683 0.000
Cd 0.183 0.993 0.500
Cd 0.683 0.493 0.000
As 0.700 0.190 0.000
As 0.300 0.810 0.000
As 0.810 0.700 0.000
As 0.190 0.300 0.000